MgNiHg2 (SCAN, single point on PBEsol structure); density of states at the Fermi level = 1.371 states/eV/cell; raw total energy = -39.2742 eV per atom; symmetry = F-43m (216)
1.0
4.600 0.000 0.000
2.300 3.984 0.000
2.300 1.328 3.756
Hg Mg Ni
2 1 1
Cartesian
6.901 3.984 2.817
0.000 0.000 0.000
4.600 2.656 1.878
2.300 1.328 0.939

=====

MgHg2Os (SCAN, single point on PBEsol structure); density of states at the Fermi level = 0.741 states/eV/cell; raw total energy = -52.8131 eV per atom; symmetry = R-3m (166)
1.0
3.010 0.000 0.000
1.505 2.607 0.000
1.505 0.869 9.175
Mg Hg Os
1 2 1
Cartesian
3.010 1.738 4.588
4.515 2.607 6.888
1.505 0.869 2.287
0.000 0.000 0.000

=====

Mg2HgOs (SCAN, single point on PBEsol structure); density of states at the Fermi level = 2.367 states/eV/cell; raw total energy = -37.1566 eV per atom; symmetry = P4mm (99)
1.0
-2.542 -0.791 -1.203
-1.180 -0.255 2.660
-2.419 8.211 -0.287
Hg Os Mg
1 1 2
Cartesian
-3.636 5.503 0.518
-1.200 4.073 -0.142
-2.550 1.818 0.647
-2.383 8.087 -0.283

=====

MgHg2Os (SCAN, single point on PBEsol structure); density of states at the Fermi level = 3.240 states/eV/cell; raw total energy = -52.7654 eV per atom; symmetry = P4/mmm (123)
1.0
-0.619 2.364 1.739
-2.429 0.585 -1.659
-4.364 -4.640 4.753
Hg Mg Os
2 1 1
Cartesian
-3.237 -3.442 3.526
-1.127 -1.198 1.227
-1.524 1.474 0.040
-3.706 -0.846 2.417

=====

Mg2HgOs (SCAN, single point on PBEsol structure); density of states at the Fermi level = 1.331 states/eV/cell; raw total energy = -37.4335 eV per atom; symmetry = Pmm2 (25)
1.0
-0.085 -2.789 0.440
0.717 -0.756 -4.656
5.006 -0.029 0.776
Hg Os Mg
1 1 2
Cartesian
1.353 -1.779 -1.947
2.730 -1.411 0.650
3.821 -0.398 -1.791
0.239 -0.001 0.037

=====

Mg2HgOs (SCAN, single point on PBEsol structure); density of states at the Fermi level = 2.692 states/eV/cell; raw total energy = -37.2482 eV per atom; symmetry = P4mm (99)
1.0
3.416 0.000 0.000
0.000 3.416 0.000
0.000 0.000 5.956
Hg Os Mg
1 1 2
Cartesian
1.708 1.708 4.445
0.000 0.000 2.854
0.000 0.000 5.923
1.708 1.708 1.668

=====

MgHgP (SCAN, single point on PBEsol structure); density of states at the Fermi level = 1.574 states/eV/cell; raw total energy = -27.7383 eV per atom; symmetry = F-43m (216)
1.0
-4.317 0.984 0.905
-3.003 0.298 -3.364
-3.186 -3.169 -0.471
P Hg Mg
1 1 1
Cartesian
-5.253 -0.944 -1.465
-2.626 -0.472 -0.733
0.000 0.000 0.000

=====

MgHgP2 (SCAN, single point on PBEsol structure); density of states at the Fermi level = 1.169 states/eV/cell; raw total energy = -23.2473 eV per atom; symmetry = P2/m (10)
1.0
-1.143 1.837 -2.988
2.786 -1.777 -2.158
-4.788 -2.797 0.112
P Hg Mg
2 1 1
Cartesian
0.000 0.000 0.000
0.822 0.030 -2.573
-2.966 -0.480 -1.438
-1.001 -2.287 -1.023

=====

Question: The lowest density of states at the Fermi level belongs to which entry?
Answer: number 2

=====

Please write out number 2 again, unchanged.
MgHg2Os (SCAN, single point on PBEsol structure); density of states at the Fermi level = 0.741 states/eV/cell; raw total energy = -52.8131 eV per atom; symmetry = R-3m (166)
1.0
3.010 0.000 0.000
1.505 2.607 0.000
1.505 0.869 9.175
Mg Hg Os
1 2 1
Cartesian
3.010 1.738 4.588
4.515 2.607 6.888
1.505 0.869 2.287
0.000 0.000 0.000